1.
TbPmIr | PBE | optimized geometry

Lattice parameters (Å, degrees): 6.726 6.726 6.726 90.00 90.00 90.00
Space group F-43m (No. 216)
One atom of each set of equivalent atoms:
Tb 0.000 0.000 0.000 [4 per cell]
Pm 0.250 0.250 0.750 [4 per cell]
Ir 0.000 0.000 0.500 [4 per cell]

* total moment: 0.01 Bohr magnetons per cell
* energy: -5.8546 eV/atom
* ΔE_f: 222 meV/atom

=====

2.
PmThIr | PBE | optimized geometry

Lattice parameters (Å, degrees): 7.009 7.009 7.009 90.00 90.00 90.00
Space group F-43m (No. 216)
One atom of each set of equivalent atoms:
Pm 0.000 0.000 0.000 [4 per cell]
Th 0.000 0.000 0.500 [4 per cell]
Ir 0.250 0.250 0.750 [4 per cell]

* energy relative to the lowest polymorph listed for this composition: 0.000 eV/atom
* total moment: 0.02 Bohr magnetons per cell
* energy: -7.5057 eV/atom
* ΔE_f: -501 meV/atom

=====

3.
Pm2ThIr9 | PBE | optimized geometry

Lattice parameters (Å, degrees): 5.3645 5.3645 26.6163 90.00 90.00 120.00
Space group R-3m (No. 166, hexagonal axes)
One atom of each set of equivalent atoms:
Pm 0.0000 0.0000 0.1403 [6 per cell]
Th 0.0000 0.0000 0.0000 [3 per cell]
Ir 0.0000 0.0000 0.3326 [6 per cell]
Ir 0.0000 0.0000 0.5000 [3 per cell]
Ir 0.0018 0.5009 0.0815 [18 per cell]

* total moment: 0.01 Bohr magnetons per cell
* energy: -8.6502 eV/atom
* ΔE_f: -600 meV/atom